1.
The following is a GGA-PBE calculation of crystalline BeCuRuF at its relaxed geometry, from Alexandria via LeMat-Bulk.

a = 4.1934 Å, b = 2.4735 Å, c = 13.0385 Å
α = 90.00°, β = 108.06°, γ = 90.00°
With the nearest neighbours (Å) after each atom.
Fractional coordinates of all 8 atoms:
Ru 0.7297 0.0000 0.1386  1 Be 2.18
Ru 0.7297 0.5000 0.6386  1 Be 2.18
Be 0.5582 0.0000 0.9629  2 F 1.55
Be 0.5582 0.5000 0.4629  2 F 1.55
Cu 0.1761 0.0000 0.5829  2 Cu 2.47, 4 Ru 2.53
Cu 0.1761 0.5000 0.0829  2 Cu 2.47, 4 Ru 2.53
F 0.4856 0.0000 0.3871  2 Be 1.55
F 0.4856 0.5000 0.8871  2 Be 1.55

ΔE to the lowest computed polymorph: 0.1534 eV per atom
total magnetic moment: 0.000 μB/cell
final energy: -5.38 eV per atom
crystal system: monoclinic


2.
The following is a GGA-PBE calculation of crystalline BeCuRuF at its relaxed geometry, from Alexandria via LeMat-Bulk.

a = 2.7444 Å, b = 2.7444 Å, c = 7.2517 Å
α = 90.00°, β = 90.00°, γ = 120.00°
With the nearest neighbours (Å) after each atom.
Fractional coordinates of all 4 atoms:
Ru 0.0000 0.0000 0.6453  3 Be 2.34, 3 Cu 2.61
Be 0.6667 0.3333 0.4085  1 F 1.47
Cu 0.6667 0.3333 0.9308  1 F 2.00
F 0.6667 0.3333 0.2062  1 Be 1.47

ΔE to the lowest computed polymorph: 0.0211 eV per atom
total magnetic moment: 0.000 μB/cell
final energy: -5.51 eV per atom
crystal system: trigonal


3.
The following is a GGA-PBE calculation of crystalline BeCuRuF at its relaxed geometry, from Alexandria via LeMat-Bulk.

a = 2.5462 Å, b = 2.7210 Å, c = 8.5181 Å
α = 85.30°, β = 81.53°, γ = 61.79°
With the nearest neighbours (Å) after each atom.
Fractional coordinates of all 4 atoms:
Ru 0.5370 0.7959 0.6265  3 Be 2.38-2.52, 2 Ru 2.55, 1 Cu 2.63
Be 0.3574 0.3861 0.3977  2 F 1.60
Cu 0.1047 0.4055 0.8837  6 Cu 2.55-2.72, 3 Ru 2.63-2.67
F 0.9260 0.3621 0.2828  2 Be 1.60

ΔE to the lowest computed polymorph: 0.0080 eV per atom
total magnetic moment: 0.000 μB/cell
final energy: -5.53 eV per atom
crystal system: triclinic


4.
The following is a GGA-PBE calculation of crystalline BeCuSbF at its relaxed geometry, from Alexandria via LeMat-Bulk.

a = 2.8783 Å, b = 4.4860 Å, c = 6.6914 Å
α = 70.87°, β = 87.03°, γ = 71.55°
With the nearest neighbours (Å) after each atom.
Fractional coordinates of all 4 atoms:
Sb 0.9199 0.6628 0.9156  1 Be 2.49, 3 Cu 2.55-2.65
Be 0.8989 0.8092 0.5223  2 F 1.62-1.63
Cu 0.1697 0.2080 0.7450  1 Be 2.50, 3 Sb 2.55-2.65
F 0.3792 0.8778 0.4029  2 Be 1.62-1.63

ΔE to the lowest computed polymorph: 0.0000 eV per atom
total magnetic moment: 0.000 μB/cell
final energy: -4.26 eV per atom
crystal system: triclinic


5.
The following is a GGA-PBE calculation of crystalline BeCuSbF at its relaxed geometry, from Alexandria via LeMat-Bulk.

a = 2.6972 Å, b = 3.0210 Å, c = 8.5022 Å
α = 90.51°, β = 90.27°, γ = 90.07°
With the nearest neighbours (Å) after each atom.
Fractional coordinates of all 4 atoms:
Sb 0.3467 0.6522 0.4410  2 Sb 2.70, 2 Cu 2.76-2.77
Be 0.3406 0.1433 0.9757  2 F 1.63
Cu 0.8412 0.6493 0.1571  4 Be 2.54-2.55, 2 Cu 2.70, 2 Sb 2.76-2.77
F 0.8392 0.1409 0.8685  2 Be 1.63

ΔE to the lowest computed polymorph: 0.0083 eV per atom
total magnetic moment: 0.000 μB/cell
final energy: -4.25 eV per atom
crystal system: triclinic


6.
The following is a GGA-PBE calculation of crystalline BeCuSbF at its relaxed geometry, from Alexandria via LeMat-Bulk.

a = 4.6561 Å, b = 4.6561 Å, c = 3.2076 Å
α = 90.00°, β = 90.00°, γ = 120.00°
With the nearest neighbours (Å) after each atom.
Fractional coordinates of all 4 atoms:
Sb 0.3333 0.6667 0.5000  3 Cu 2.69, 3 Be 2.69
Be 0.6667 0.3333 0.5000  2 F 1.60
Cu 0.0000 0.0000 0.5000  3 Be 2.69, 3 Sb 2.69
F 0.6667 0.3333 0.0000  2 Be 1.60

ΔE to the lowest computed polymorph: 0.0470 eV per atom
total magnetic moment: 0.000 μB/cell
final energy: -4.21 eV per atom
crystal system: hexagonal


7.
The following is a GGA-PBE calculation of crystalline BeCuSbF at its relaxed geometry, from Alexandria via LeMat-Bulk.

a = 6.4345 Å, b = 3.2298 Å, c = 8.1689 Å
α = 90.00°, β = 111.94°, γ = 90.00°
With the nearest neighbours (Å) after each atom.
Fractional coordinates of all 8 atoms:
Sb 0.9156 0.0000 0.3743  3 Cu 2.56-2.61, 2 Be 2.63
Sb 0.9156 0.5000 0.8743  3 Cu 2.56-2.61, 2 Be 2.63
Be 0.5850 0.0000 0.8580  1 F 1.42
Be 0.5850 0.5000 0.3580  1 F 1.42
Cu 0.7376 0.0000 0.6067  3 Be 2.49-2.59, 3 Sb 2.56-2.61
Cu 0.7376 0.5000 0.1067  3 Be 2.49-2.59, 3 Sb 2.56-2.61
F 0.3475 0.0000 0.7954  1 Be 1.42
F 0.3475 0.5000 0.2954  1 Be 1.42

ΔE to the lowest computed polymorph: 0.0282 eV per atom
total magnetic moment: 0.000 μB/cell
final energy: -4.23 eV per atom
crystal system: monoclinic


8.
The following is a GGA-PBE calculation of crystalline BeCuSi2F at its relaxed geometry, from Alexandria via LeMat-Bulk.

a = 5.0236 Å, b = 2.9402 Å, c = 5.0236 Å
α = 90.00°, β = 90.00°, γ = 90.00°
With the nearest neighbours (Å) after each atom.
Fractional coordinates of all 5 atoms:
Be 0.0000 0.5000 0.0000  2 F 1.47
Si 0.0000 0.0000 0.5000  2 F 2.51
Si 0.5000 0.0000 0.0000  2 F 2.51
Cu 0.5000 0.5000 0.5000  8 Si 2.91, 2 Cu 2.94
F 0.0000 0.0000 0.0000  2 Be 1.47

total magnetic moment: 0.000 μB/cell
final energy: -3.90 eV per atom
crystal system: tetragonal


9.
The following is a GGA-PBE calculation of crystalline SrBe2CuF8 at its relaxed geometry, from Alexandria via LeMat-Bulk.

a = 4.7873 Å, b = 4.7873 Å, c = 7.4322 Å
α = 85.53°, β = 85.53°, γ = 68.63°
With the nearest neighbours (Å) after each atom.
Fractional coordinates of all 12 atoms:
Sr 0.0000 0.0000 0.5000  6 F 2.48-2.50
Be 0.6309 0.6309 0.2270  4 F 1.56-1.57
Be 0.3691 0.3691 0.7730  4 F 1.56-1.57
Cu 0.0000 0.0000 0.0000  2 F 1.87
F 0.7204 0.2379 0.7804  1 Be 1.57
F 0.7644 0.7644 0.0582  1 Be 1.56
F 0.7041 0.7041 0.4143  1 Be 1.56
F 0.2959 0.2959 0.5857  1 Be 1.56
F 0.2356 0.2356 0.9418  1 Be 1.56
F 0.2379 0.7204 0.7804  1 Be 1.57
F 0.7621 0.2796 0.2196  1 Be 1.57
F 0.2796 0.7621 0.2196  1 Be 1.57

total magnetic moment: 1.000 μB/cell
final energy: -5.33 eV per atom
crystal system: monoclinic


10.
The following is a GGA-PBE calculation of crystalline SrBeCu2F8 at its relaxed geometry, from Alexandria via LeMat-Bulk.

a = 5.0222 Å, b = 5.0222 Å, c = 6.4617 Å
α = 90.00°, β = 90.00°, γ = 120.00°
With the nearest neighbours (Å) after each atom.
Fractional coordinates of all 12 atoms:
Sr 0.0000 0.0000 0.0000  12 F 2.65-2.93
Be 0.0000 0.0000 0.5000  6 F 1.75
Cu 0.6667 0.3333 0.3588  4 F 1.87-2.03
Cu 0.3333 0.6667 0.6412  4 F 1.87-2.03
F 0.3333 0.6667 0.9313  1 Cu 1.87
F 0.2520 0.3087 0.3444  1 Be 1.75
F 0.6913 0.9433 0.3444  1 Be 1.75
F 0.6667 0.3333 0.0687  1 Cu 1.87
F 0.3087 0.0567 0.6556  1 Be 1.75
F 0.7480 0.6913 0.6556  1 Be 1.75
F 0.9433 0.2520 0.6556  1 Be 1.75
F 0.0567 0.7480 0.3444  1 Be 1.75

total magnetic moment: 2.001 μB/cell
final energy: -4.73 eV per atom
crystal system: trigonal


11.
The following is a GGA-PBE calculation of crystalline BeCuTc2F at its relaxed geometry, from Alexandria via LeMat-Bulk.

a = 4.7749 Å, b = 2.8336 Å, c = 4.7749 Å
α = 90.00°, β = 90.00°, γ = 90.00°
With the nearest neighbours (Å) after each atom.
Fractional coordinates of all 5 atoms:
Be 0.0000 0.0000 0.0000  2 F 1.42
Tc 0.0000 0.0000 0.5000  2 Be 2.39
Tc 0.5000 0.0000 0.0000  2 Be 2.39
Cu 0.5000 0.5000 0.5000  8 Tc 2.78, 2 Cu 2.83
F 0.0000 0.5000 0.0000  2 Be 1.42

total magnetic moment: 0.000 μB/cell
final energy: -5.54 eV per atom
crystal system: tetragonal


12.
The following is a GGA-PBE calculation of crystalline Be2TlCuF8 at its relaxed geometry, from Alexandria via LeMat-Bulk.

a = 4.8434 Å, b = 4.8434 Å, c = 7.2834 Å
α = 86.79°, β = 86.79°, γ = 68.33°
With the nearest neighbours (Å) after each atom.
Fractional coordinates of all 12 atoms:
Be 0.6411 0.6411 0.2349  4 F 1.55-1.58
Be 0.3589 0.3589 0.7651  4 F 1.55-1.58
Tl 0.0000 0.0000 0.5000  6 F 2.37-2.44
Cu 0.0000 0.0000 0.0000  2 F 1.89
F 0.7101 0.2310 0.7738  1 Be 1.58
F 0.7679 0.7679 0.0652  1 Be 1.55
F 0.7160 0.7160 0.4271  1 Be 1.56
F 0.2840 0.2840 0.5729  1 Be 1.56
F 0.2321 0.2321 0.9348  1 Be 1.55
F 0.2310 0.7101 0.7738  1 Be 1.58
F 0.7690 0.2899 0.2262  1 Be 1.58
F 0.2899 0.7690 0.2262  1 Be 1.58

total magnetic moment: 0.495 μB/cell
final energy: -4.80 eV per atom
crystal system: monoclinic


| no. | calculated density (g/cm3) | ΔE_f (raw) (meV/atom) |
| --- | --- | --- |
| 1 | 4.98 | -639 |
| 2 | 6.76 | -771 |
| 3 | 6.22 | -784 |
| 4 | 4.58 | -805 |
| 5 | 5.11 | -797 |
| 6 | 5.88 | -758 |
| 7 | 4.50 | -777 |
| 8 | 3.31 | 211 |
| 9 | 3.38 | -2981 |
| 10 | 4.42 | -2345 |
| 11 | 7.39 | 550 |
| 12 | 4.59 | -2395 |